Entry 1:
DFT (PBE-GGA) results for an optimized crystal structure of Cd2AgPd8.

Lattice parameters (Å, degrees): 7.370 7.370 7.370 145.37 123.88 67.65
Sites, in units of the cell vectors:
Cd1 0.202 0.202 0.000
Cd2 0.798 0.798 0.000
Ag1 0.500 0.500 0.000
Pd1 0.065 0.355 0.710
Pd2 0.203 0.000 0.203
Pd3 0.348 0.848 0.500
Pd4 0.355 0.645 0.710
Pd5 0.645 0.355 0.290
Pd6 0.652 0.152 0.500
Pd7 0.797 0.000 0.797
Pd8 0.935 0.645 0.290

Computed properties:
For the excess energy over the best structure of this formula in the dataset, the calculation gives 0 meV per atom.



Entry 2:
DFT (PBE-GGA) results for an optimized crystal structure of Cd3AgPd6.

Lattice parameters (Å, degrees): 7.642 4.687 10.118 90.00 111.26 90.00
Sites, in units of the cell vectors:
Cd1 0.057 0.250 0.380
Cd2 0.144 0.750 0.222
Cd3 0.274 0.250 0.980
Cd4 0.726 0.750 0.020
Cd5 0.856 0.250 0.778
Cd6 0.943 0.750 0.620
Ag1 0.461 0.250 0.574
Ag2 0.539 0.750 0.426
Pd1 0.038 0.750 0.924
Pd2 0.165 0.250 0.680
Pd3 0.240 0.750 0.525
Pd4 0.337 0.750 0.823
Pd5 0.364 0.250 0.276
Pd6 0.441 0.750 0.128
Pd7 0.559 0.250 0.872
Pd8 0.636 0.750 0.724
Pd9 0.663 0.250 0.177
Pd10 0.760 0.250 0.475
Pd11 0.835 0.750 0.320
Pd12 0.962 0.250 0.076

Computed properties:
For the excess energy over the best structure of this formula in the dataset, the calculation gives 0 meV per atom.



Entry 3:
DFT (PBE-GGA) results for an optimized crystal structure of Cd2Ag4Pd.

Lattice parameters (Å, degrees): 5.207 5.207 12.900 90.00 90.00 129.23
Sites, in units of the cell vectors:
Cd1 0.080 0.920 0.867
Cd2 0.420 0.580 0.367
Cd3 0.580 0.420 0.633
Cd4 0.920 0.080 0.133
Ag1 0.124 0.876 0.309
Ag2 0.217 0.783 0.072
Ag3 0.283 0.717 0.572
Ag4 0.376 0.624 0.809
Ag5 0.624 0.376 0.191
Ag6 0.717 0.283 0.428
Ag7 0.783 0.217 0.928
Ag8 0.876 0.124 0.691
Pd1 0.000 0.000 0.500
Pd2 0.500 0.500 0.000



Entry 4:
DFT (PBE-GGA) results for an optimized crystal structure of Cd9AgPd2.

Lattice parameters (Å, degrees): 4.292 4.292 12.785 90.00 90.00 90.00
Sites, in units of the cell vectors:
Cd1 0.000 0.000 0.000
Cd2 0.000 0.000 0.336
Cd3 0.000 0.000 0.664
Cd4 0.000 0.500 0.172
Cd5 0.000 0.500 0.500
Cd6 0.000 0.500 0.828
Cd7 0.500 0.000 0.172
Cd8 0.500 0.000 0.500
Cd9 0.500 0.000 0.828
Ag1 0.500 0.500 0.000
Pd1 0.500 0.500 0.336
Pd2 0.500 0.500 0.664



Number 1: calculated formation energy -0.07 eV per atom, D(E_F) 1.195 states/eV/atom, total magnetic moment 0.0 Bohr magnetons per cell. Number 2: calculated formation energy -0.27 eV per atom, D(E_F) 0.449 states/eV/atom, total magnetic moment 0.0 Bohr magnetons per cell. Number 3: calculated formation energy -0.02 eV per atom, D(E_F) 0.304 states/eV/atom, total magnetic moment 0.0 Bohr magnetons per cell. Number 4: calculated formation energy -0.15 eV per atom, D(E_F) 0.307 states/eV/atom, total magnetic moment 0.0 Bohr magnetons per cell.